{"formula": "FeSiN2O", "functional": "PBE+U", "state": "relaxed", "e_tot_ev_per_atom": -5.540, "m_tot_mub_per_fu": 3.01, "crystal_system": "tetragonal", "volume_a3_per_cell": 54.2, "cell": [[3.8240, 0.0000, 0.0000], [0.0000, 3.8240, 0.0000], [0.0000, 0.0000, 3.7050]], "species": ["Si", "Fe", "O", "N", "N"], "frac_coords": [[0.5000, 0.5000, 0.5000], [0.0000, 0.0000, 0.0000], [0.0000, 0.0000, 0.5000], [0.0000, 0.5000, 0.0000], [0.5000, 0.0000, 0.0000]]}